(1)
Crystalline AgGeAsO at its relaxed geometry. Source: the Open Quantum Materials Database, functional PBE.

a = 3.8404 Å, b = 8.5892 Å, c = 4.9471 Å
α = 90.00°, β = 90.00°, γ = 90.00°
Positions (direct):
Ag (0.0000, 0.1209, 0.0000)
Ag (0.0000, 0.8791, 0.5000)
Ge (0.5000, 0.3794, 0.5709)
Ge (0.5000, 0.6206, 0.0709)
As (0.0000, 0.2118, 0.4979)
As (0.0000, 0.7882, 0.9979)
O (0.5000, 0.4301, 0.9248)
O (0.5000, 0.5699, 0.4248)

Energy above the lowest structure with this stoichiometry: 0.00 eV per formula unit
E_tot: -4.765 eV per atom

=====

(2)
Crystalline SmNbTe at its relaxed geometry. Source: the Open Quantum Materials Database, functional PBE.

a = 4.8584 Å, b = 4.8584 Å, c = 4.8584 Å
α = 60.00°, β = 60.00°, γ = 60.00°
Positions (direct):
Sm (0.0000, 0.0000, 0.0000)
Nb (0.5000, 0.5000, 0.5000)
Te (0.7500, 0.7500, 0.7500)

Energy above the lowest structure with this stoichiometry: 0.00 eV per formula unit
E_tot: -5.934 eV per atom
M_tot: 0.01 μB per atom

=====

(3)
Crystalline NdTmSi2W2C at its relaxed geometry. Source: the Open Quantum Materials Database, functional PBE.

a = 5.8899 Å, b = 5.8899 Å, c = 7.1888 Å
α = 123.23°, β = 123.23°, γ = 38.42°
Positions (direct):
Nd (0.0000, 0.0000, 0.0000)
Tm (0.8498, 0.8498, 0.4048)
Si (0.2907, 0.2907, 0.0362)
Si (0.5555, 0.5555, 0.3653)
W (0.2148, 0.2148, 0.6144)
W (0.6295, 0.6295, 0.7794)
C (0.4195, 0.4195, 0.6867)

E_tot: -8.393 eV per atom
M_tot: 0.00 μB per atom

=====

Q: What is the formula in the first record?
A: AgGeAsO

=====

Q: What is the formula in the first record?
A: AgGeAsO

=====

Q: Which value of E_tot does entry 3 give?
A: -8.393 eV per atom

=====

Q: E_tot of number 1 (AgGeAsO)?
A: -4.765 eV per atom